A plane-wave DFT calculation with PBE was carried out for crystalline K3As7 at its relaxed geometry.

POSCAR file:
```
K3As7
1.0
13.241 0.000 0.000
0.000 26.108 0.000
0.000 0.000 15.516
K As
48 112
Cartesian
0.547 1.635 2.147 K
0.547 11.419 9.905 K
0.717 17.901 8.337 K
0.717 21.261 0.579 K
1.465 2.011 9.061 K
1.465 11.043 1.303 K
1.866 15.158 11.572 K
1.866 24.004 3.814 K
1.886 16.363 1.515 K
1.886 22.798 9.273 K
2.807 5.766 5.130 K
2.807 7.288 12.888 K
3.813 18.820 5.130 K
3.813 20.342 12.888 K
4.734 3.309 1.515 K
4.734 9.744 9.273 K
4.755 2.104 11.572 K
4.755 10.950 3.814 K
5.155 15.065 9.061 K
5.155 24.097 1.303 K
5.903 4.847 8.337 K
5.903 8.207 0.579 K
6.074 14.689 2.147 K
6.074 24.473 9.905 K
7.167 1.635 5.611 K
7.167 11.419 13.369 K
7.338 17.901 14.937 K
7.338 21.261 7.179 K
8.085 2.011 14.213 K
8.085 11.043 6.455 K
8.486 15.158 11.703 K
8.486 24.004 3.944 K
8.506 16.363 6.243 K
8.506 22.798 14.001 K
9.428 5.766 2.628 K
9.428 7.288 10.386 K
10.433 18.820 2.628 K
10.433 20.342 10.386 K
11.355 3.309 6.243 K
11.355 9.744 14.001 K
11.375 2.104 11.703 K
11.375 10.950 3.944 K
11.776 15.065 14.213 K
11.776 24.097 6.455 K
12.523 4.847 14.937 K
12.523 8.207 7.179 K
12.694 14.689 5.611 K
12.694 24.473 13.369 K
0.254 18.894 4.584 As
0.254 20.267 12.342 As
0.509 4.854 11.574 As
0.509 8.200 3.816 As
0.575 5.123 7.699 As
0.575 7.931 15.457 As
0.963 18.238 13.764 As
0.963 20.923 6.006 As
1.588 4.910 1.966 As
1.588 8.144 9.724 As
1.634 1.275 5.517 As
1.634 11.779 13.275 As
1.692 0.802 12.514 As
1.692 12.252 4.756 As
1.763 13.735 14.642 As
1.763 25.427 6.884 As
1.892 14.385 7.936 As
1.892 24.777 0.178 As
2.438 0.925 14.848 As
2.438 12.129 7.090 As
2.557 6.103 8.770 As
2.557 6.951 1.012 As
2.744 4.714 10.759 As
2.744 8.340 3.001 As
2.819 14.263 4.131 As
2.819 24.899 11.889 As
2.951 15.689 6.247 As
2.951 23.473 14.005 As
3.669 2.635 6.247 As
3.669 10.419 14.005 As
3.801 1.209 4.131 As
3.801 11.845 11.889 As
3.876 17.768 10.759 As
3.876 21.393 3.001 As
4.063 19.157 8.770 As
4.063 20.005 1.012 As
4.183 13.979 14.848 As
4.183 25.183 7.090 As
4.728 1.331 7.936 As
4.728 11.723 0.178 As
4.857 0.681 14.642 As
4.857 12.373 6.884 As
4.928 13.856 12.514 As
4.928 25.306 4.756 As
4.986 14.329 5.517 As
4.986 24.833 13.275 As
5.032 17.964 1.966 As
5.032 21.198 9.724 As
5.657 5.184 13.764 As
5.657 7.869 6.006 As
6.045 18.177 7.699 As
6.045 20.985 15.457 As
6.111 17.908 11.574 As
6.111 21.253 3.816 As
6.366 5.840 4.584 As
6.366 7.213 12.342 As
6.875 18.894 3.174 As
6.875 20.267 10.932 As
7.130 4.854 11.700 As
7.130 8.200 3.942 As
7.196 5.123 0.059 As
7.196 7.931 7.818 As
7.584 18.238 9.510 As
7.584 20.923 1.752 As
8.208 4.910 5.792 As
8.208 8.144 13.551 As
8.254 1.275 2.241 As
8.254 11.779 9.999 As
8.312 0.802 10.760 As
8.312 12.252 3.002 As
8.383 13.735 8.632 As
8.383 25.427 0.874 As
8.513 14.385 15.338 As
8.513 24.777 7.580 As
9.058 0.925 8.426 As
9.058 12.129 0.668 As
9.178 6.103 14.504 As
9.178 6.951 6.746 As
9.365 4.714 12.516 As
9.365 8.340 4.758 As
9.439 14.263 3.627 As
9.439 24.899 11.385 As
9.572 15.689 1.511 As
9.572 23.473 9.269 As
10.289 2.635 1.511 As
10.289 10.419 9.269 As
10.422 1.209 3.627 As
10.422 11.845 11.385 As
10.496 17.768 12.516 As
10.496 21.393 4.758 As
10.683 19.157 14.504 As
10.683 20.005 6.746 As
10.803 13.979 8.426 As
10.803 25.183 0.668 As
11.348 1.331 15.338 As
11.348 11.723 7.580 As
11.478 0.681 8.632 As
11.478 12.373 0.874 As
11.549 13.856 10.760 As
11.549 25.306 3.002 As
11.607 14.329 2.241 As
11.607 24.833 9.999 As
11.653 17.964 5.792 As
11.653 21.198 13.551 As
12.277 5.184 9.510 As
12.277 7.869 1.752 As
12.665 18.177 0.059 As
12.665 20.985 7.818 As
12.731 17.908 11.700 As
12.731 21.253 3.942 As
12.986 5.840 3.174 As
12.986 7.213 10.932 As
```

Summary:
Energy relative to the elements, eV/f.u.: -3.71
Total magnetization, μB/cell: 0.0
Crystal system: orthorhombic
Calculated density, Mg/m³: 3.18


A plane-wave DFT calculation with PBE was carried out for crystalline K6As7 at its relaxed geometry.

POSCAR file:
```
K6As7
1.0
3.277 1.892 10.542
-3.277 1.892 10.542
0.000 -3.784 10.542
K As
6 7
Cartesian
0.000 0.000 1.919 K
0.000 0.000 5.147 K
0.000 0.000 10.246 K
0.000 0.000 21.379 K
0.000 0.000 26.479 K
0.000 0.000 29.706 K
-1.338 -0.772 13.453 As
0.000 -1.545 18.172 As
-1.338 0.772 18.172 As
0.000 0.000 15.813 As
1.338 -0.772 13.453 As
0.000 1.545 13.453 As
1.338 0.772 18.172 As
```

Summary:
Energy relative to the elements, eV/f.u.: -2.62
Total magnetization, μB/cell: 0.0
Crystal system: trigonal
Calculated density, Mg/m³: 3.21


A plane-wave DFT calculation with PBE was carried out for crystalline K5As4 at its relaxed geometry.

POSCAR file:
```
K5As4
1.0
6.362 0.000 0.000
0.216 6.557 0.000
0.369 2.681 7.663
K As
5 4
Cartesian
0.000 0.000 0.000 K
1.697 2.578 3.647 K
2.535 5.380 6.054 K
4.412 3.858 1.609 K
5.249 6.660 4.016 K
1.959 5.862 2.649 As
3.141 0.606 1.100 As
3.805 8.632 6.563 As
4.987 3.376 5.014 As
```

Summary:
Energy relative to the elements, eV/f.u.: -3.60
Total magnetization, μB/cell: 0.0
Crystal system: triclinic
Calculated density, Mg/m³: 2.57


A plane-wave DFT calculation with PBE was carried out for crystalline K2As3 at its relaxed geometry.

POSCAR file:
```
K2As3
1.0
3.943 0.000 0.000
-1.971 3.415 0.000
0.000 0.000 11.574
K As
2 3
Cartesian
0.000 2.276 3.398 K
1.971 1.138 8.176 K
0.000 0.000 5.787 As
0.000 2.276 10.994 As
1.971 1.138 0.580 As
```

Summary:
Energy relative to the elements, eV/f.u.: -0.44
Total magnetization, μB/cell: 0.0
Crystal system: trigonal
Calculated density, Mg/m³: 3.23


Q: Which of these has the lowest calculated density?
A: K5As4